Compound: Be2InCl
Source: Alexandria via LeMat-Bulk
Functional: meta-GGA SCAN
Structure: PBEsol geometry

The density of states at the Fermi level comes out at 0.27 states/eV/atom. For the calculated total energy, the calculation gives -12.237 eV per atom.

The space group is Imm2 (No. 44) and the conventional cell measures 2.882, 5.425 and 8.788 Å, with angles of 90.00, 90.00 and 90.00 degrees. The inequivalent atoms are Be at (0.000, 0.000, 0.000), Be at (0.000, 0.500, 0.300), In at (0.000, 0.500, 0.785) and Cl at (0.000, 0.000, 0.627).

***

Compound: Hg2SeNF
Source: Alexandria via LeMat-Bulk
Functional: meta-GGA SCAN
Structure: PBEsol geometry

The density of states at the Fermi level comes out at 0.40 states/eV/atom. For the calculated total energy, the calculation gives -33.354 eV per atom.

The space group is P4/mmm (No. 123) and the conventional cell measures 4.632, 4.632 and 3.828 Å, with angles of 90.00, 90.00 and 90.00 degrees. The inequivalent atoms are Hg at (0.000, 0.500, 0.000), Se at (0.000, 0.000, 0.500), N at (0.500, 0.500, 0.000) and F at (0.500, 0.500, 0.500).

***

Compound: CaTeAs2
Source: Alexandria via LeMat-Bulk
Functional: meta-GGA SCAN
Structure: PBEsol geometry

The density of states at the Fermi level comes out at 0.41 states/eV/atom. For the calculated total energy, the calculation gives -22.208 eV per atom.

The space group is Immm (No. 71) and the conventional cell measures 3.971, 4.702 and 9.765 Å, with angles of 90.00, 90.00 and 90.00 degrees. The inequivalent atoms are Ca at (0.000, 0.000, 0.000), Te at (0.000, 0.000, 0.500) and As at (0.000, 0.500, 0.228).

***

Compound: LaZn2P
Source: Alexandria via LeMat-Bulk
Functional: meta-GGA SCAN
Structure: PBEsol geometry

The density of states at the Fermi level comes out at 0.25 states/eV/atom. Its calculated formation energy is -1.416 eV per formula unit. For the calculated total energy, the calculation gives -20.487 eV per atom.

The space group is Fmmm (No. 69) and the conventional cell measures 5.696, 5.702 and 11.075 Å, with angles of 90.00, 90.00 and 90.00 degrees. The inequivalent atoms are La at (0.000, 0.000, 0.000), Zn at (0.000, 0.250, 0.250) and P at (0.000, 0.000, 0.500).

***

Compound: SrFe2Hg
Source: Alexandria via LeMat-Bulk
Functional: meta-GGA SCAN
Structure: PBEsol geometry

The density of states at the Fermi level comes out at 0.76 states/eV/atom. Its calculated formation energy is 1.050 eV per formula unit. For the calculated total energy, the calculation gives -31.413 eV per atom.

The space group is R3m (No. 160, hexagonal axes) and the conventional cell measures 4.0471, 4.0471 and 17.7306 Å, with angles of 90.00, 90.00 and 120.00 degrees. The inequivalent atoms are Sr at (0.0000, 0.0000, 0.0000), Fe at (0.0000, 0.0000, 0.4608), Fe at (0.0000, 0.0000, 0.7940) and Hg at (0.0000, 0.0000, 0.2005).

***

Compound: NbP2CSe
Source: Alexandria via LeMat-Bulk
Functional: meta-GGA SCAN
Structure: PBEsol geometry

The density of states at the Fermi level comes out at 0.81 states/eV/atom. For the calculated total energy, the calculation gives -15.851 eV per atom.

The space group is P4/mmm (No. 123) and the conventional cell measures 3.986, 3.986 and 4.524 Å, with angles of 90.00, 90.00 and 90.00 degrees. The inequivalent atoms are Nb at (0.000, 0.000, 0.000), P at (0.000, 0.500, 0.500), C at (0.000, 0.000, 0.500) and Se at (0.500, 0.500, 0.000).

***

Compound: Li2NiP4O12
Source: Alexandria via LeMat-Bulk
Functional: meta-GGA SCAN
Structure: PBEsol geometry

The density of states at the Fermi level comes out at 0.00 states/eV/atom. For the calculated total energy, the calculation gives -9.533 eV per atom.

The space group is C2 (No. 5) and the conventional cell measures 9.017, 9.016 and 7.024 Å, with angles of 90.00, 129.93 and 90.00 degrees. The inequivalent atoms are Li at (0.000, 0.000, 0.000), Li at (0.000, 0.309, 0.000), Ni at (0.000, 0.320, 0.500), P at (0.195, 0.695, 0.986), P at (0.196, 0.585, 0.365), O at (0.029, 0.709, 0.257), O at (0.113, 0.152, 0.427), O at (0.129, 0.442, 0.394), O at (0.189, 0.157, 0.092), O at (0.194, 0.557, 0.133) and O at (0.245, 0.834, 0.135).

***

Compound: TaReB2As
Source: Alexandria via LeMat-Bulk
Functional: meta-GGA SCAN
Structure: PBEsol geometry

The density of states at the Fermi level comes out at 0.85 states/eV/atom. Its calculated formation energy is 6.445 eV per formula unit. For the calculated total energy, the calculation gives -33.257 eV per atom.

The space group is P4/mmm (No. 123) and the conventional cell measures 3.961, 3.961 and 4.901 Å, with angles of 90.00, 90.00 and 90.00 degrees. The inequivalent atoms are Ta at (0.000, 0.000, 0.000), Re at (0.500, 0.500, 0.500), B at (0.000, 0.500, 0.500) and As at (0.500, 0.500, 0.000).